Hf2NiHg | PBE | optimized geometry

Cell: 4.218 4.218 9.886 Å, 77.68 77.68 90.00°
Sites, in units of the cell vectors:
Ni (0.500, 0.500, 0.000)
Ni (0.250, 0.750, 0.500)
Hf (0.616, 0.125, 0.250)
Hf (0.134, 0.625, 0.250)
Hf (0.375, 0.384, 0.750)
Hf (0.875, 0.866, 0.750)
Hg (0.000, 0.000, 0.000)
Hg (0.750, 0.250, 0.500)

Summary:
- E_tot (eV per atom) = -6.024
- formation enthalpy at 0 K (kcal/mol of atoms) = 10.93